[1]
DFT (PBE) results for a relaxed PmPaGeAu crystal.

Cell: 5.1598 5.1598 5.1598 Å, 60.00 60.00 60.00°
Fractional coordinates of all 4 atoms:
Pm: 0.0000 0.0000 0.0000
Pa: 0.5000 0.5000 0.5000
Ge: 0.2500 0.2500 0.2500
Au: 0.7500 0.7500 0.7500

Calculated values
Space-group type   F-43m (216)
ΔE_f   -147 kJ/mol of formula units
VASP energy   -23.66 eV for the cell shown

[2]
DFT (PBE) results for a relaxed PrPaGeAu crystal.

Cell: 5.1978 5.1978 5.1978 Å, 60.00 60.00 60.00°
Fractional coordinates of all 4 atoms:
Pr: 0.0000 0.0000 0.0000
Pa: 0.5000 0.5000 0.5000
Ge: 0.7500 0.7500 0.7500
Au: 0.2500 0.2500 0.2500

Calculated values
Space-group type   F-43m (216)
ΔE_f   -137 kJ/mol of formula units
VASP energy   -23.59 eV for the cell shown

[3]
DFT (PBE) results for a relaxed Pa2Ge4Pt3Au crystal.

Cell: 4.3801 4.3801 9.9586 Å, 90.00 90.00 90.00°
Fractional coordinates of all 10 atoms:
Pa: 0.0000 0.5000 0.2476
Pa: 0.5000 0.0000 0.7524
Ge: 0.0000 0.0000 0.0000
Ge: 0.0000 0.5000 0.6359
Ge: 0.5000 0.0000 0.3641
Ge: 0.5000 0.5000 0.0000
Pt: 0.0000 0.5000 0.8784
Pt: 0.5000 0.0000 0.1216
Pt: 0.5000 0.5000 0.5000
Au: 0.0000 0.0000 0.5000

Calculated values
Space-group type   P-4m2 (115)
ΔE_f   -587 kJ/mol of formula units
VASP energy   -64.94 eV for the cell shown

[4]
DFT (PBE) results for a relaxed PuPaGeAu crystal.

Cell: 4.2727 5.9092 5.9092 Å, 39.82 90.00 90.00°
Fractional coordinates of all 4 atoms:
Pu: 0.0000 0.0000 0.0000
Pa: 0.5000 0.6999 0.6999
Ge: 0.0000 0.2647 0.2647
Au: 0.5000 0.4238 0.4238

Calculated values
Space-group type   Amm2 (38)
ΔE_f   -133 kJ/mol of formula units
VASP energy   -33.10 eV for the cell shown
Excess energy over the best structure of this formula in the dataset   0.0 kJ per mole of atoms

[5]
DFT (PBE) results for a relaxed Pu2PaGe2Au2 crystal.

Cell: 9.3777 9.3777 9.3777 Å, 26.37 26.37 26.37°
Fractional coordinates of all 7 atoms:
Pu: 0.1613 0.1613 0.1613
Pu: 0.8387 0.8387 0.8387
Pa: 0.0000 0.0000 0.0000
Ge: 0.2754 0.2754 0.2754
Ge: 0.7246 0.7246 0.7246
Au: 0.4238 0.4238 0.4238
Au: 0.5762 0.5762 0.5762

Calculated values
Space-group type   R-3m (166)
ΔE_f   -112 kJ/mol of formula units
VASP energy   -55.11 eV for the cell shown

[6]
DFT (PBE) results for a relaxed PuPaGeAu crystal.

Cell: 5.0957 5.0957 5.0957 Å, 60.00 60.00 60.00°
Fractional coordinates of all 4 atoms:
Pu: 0.0000 0.0000 0.0000
Pa: 0.5000 0.5000 0.5000
Ge: 0.2500 0.2500 0.2500
Au: 0.7500 0.7500 0.7500

Calculated values
Space-group type   F-43m (216)
ΔE_f   -115 kJ/mol of formula units
VASP energy   -32.92 eV for the cell shown
Excess energy over the best structure of this formula in the dataset   4.3 kJ per mole of atoms

[7]
DFT (PBE) results for a relaxed PaGeAuS crystal.

Cell: 4.2815 4.2815 8.6554 Å, 90.00 90.00 90.00°
Fractional coordinates of all 8 atoms:
Pa: 0.2500 0.2500 0.2031
Pa: 0.7500 0.7500 0.7970
Ge: 0.2500 0.2500 0.6951
Ge: 0.7500 0.7500 0.3049
Au: 0.2500 0.7500 0.5000
Au: 0.7500 0.2500 0.5000
S: 0.2500 0.7500 0.0000
S: 0.7500 0.2500 0.0000

Calculated values
Space-group type   P4/nmm (129)
VASP energy   -49.62 eV for the cell shown

[8]
DFT (PBE) results for a relaxed PaGeSbAu crystal.

Cell: 4.3283 4.3283 9.4825 Å, 90.00 90.00 90.00°
Fractional coordinates of all 8 atoms:
Pa: 0.2500 0.2500 0.2282
Pa: 0.7500 0.7500 0.7718
Ge: 0.2500 0.7500 0.0000
Ge: 0.7500 0.2500 0.0000
Sb: 0.2500 0.2500 0.7137
Sb: 0.7500 0.7500 0.2863
Au: 0.2500 0.7500 0.5000
Au: 0.7500 0.2500 0.5000

Calculated values
Space-group type   P4/nmm (129)
VASP energy   -45.99 eV for the cell shown

| no. | V (Å³/cell) |
| --- | --- |
| 1 | 97.14 |
| 2 | 99.30 |
| 3 | 191.06 |
| 4 | 95.55 |
| 5 | 143.34 |
| 6 | 93.56 |
| 7 | 158.67 |
| 8 | 177.65 |